Record 1
# PBE-GGA Se2SI2, optimized geometry
# - Magnetic moment: 0.0 μB/cell
# - Offset from the most stable computed form: 294 meV/atom
# - ΔE_f (raw): 3.3 eV/f.u.
data_Se2SI2
_chemical_formula_sum 'Se4 S2 I4'
_symmetry_space_group_name_H-M 'I 4/m m m'
_symmetry_Int_Tables_number 139
_symmetry_space_group_name_Hall '-I 4 2'
_cell_length_a 3.8717
_cell_length_b 3.8717
_cell_length_c 18.0401
_cell_angle_alpha 90.00
_cell_angle_beta 90.00
_cell_angle_gamma 90.00
loop_
_atom_site_label
_atom_site_fract_x
_atom_site_fract_y
_atom_site_fract_z
Se1 0.0000 0.5000 0.2500
S1 0.0000 0.0000 0.0000
I1 0.0000 0.0000 0.4121

Record 2
# PBE-GGA Tl3InSb3S8, optimized geometry
# - Magnetic moment: 0.0 μB/cell
# - ΔE_f (raw): -4.9 eV/f.u.
data_Tl3InSb3S8
_chemical_formula_sum 'Tl3 In1 Sb3 S8'
_symmetry_space_group_name_H-M 'P -1'
_symmetry_Int_Tables_number 2
_cell_length_a 7.8776
_cell_length_b 7.8860
_cell_length_c 8.7143
_cell_angle_alpha 63.22
_cell_angle_beta 63.16
_cell_angle_gamma 60.06
loop_
_symmetry_equiv_pos_as_xyz
'x,y,z'
'-x,-y,-z'
loop_
_atom_site_label
_atom_site_fract_x
_atom_site_fract_y
_atom_site_fract_z
Tl1 0.0000 0.0000 0.0000
Tl2 0.0000 0.5000 0.0000
Tl3 0.5000 0.0000 0.0000
In1 0.0000 0.0000 0.5000
Sb1 0.0000 0.5000 0.5000
Sb2 0.5000 0.0000 0.5000
Sb3 0.5000 0.5000 0.5000
S1 0.2305 0.2304 0.2984
S2 0.2304 0.7406 0.2984
S3 0.2594 0.7696 0.7017
S4 0.2633 0.2635 0.7100

Record 3
# PBE-GGA BaAcIn4, optimized geometry
# - Magnetic moment: 0.0 μB/cell
# - Offset from the most stable computed form: 28 meV/atom
# - ΔE_f: -412 meV per atom
data_BaAcIn4
_chemical_formula_sum 'Ba4 Ac4 In16'
_symmetry_space_group_name_H-M 'F -4 3 m'
_symmetry_Int_Tables_number 216
_symmetry_space_group_name_Hall 'F -4 2 3'
_cell_length_a 9.0123
_cell_length_b 9.0123
_cell_length_c 9.0123
_cell_angle_alpha 90.00
_cell_angle_beta 90.00
_cell_angle_gamma 90.00
loop_
_atom_site_label
_atom_site_fract_x
_atom_site_fract_y
_atom_site_fract_z
Ba1 0.0000 0.0000 0.0000
Ac1 0.2500 0.2500 0.7500
In1 0.1249 0.1249 0.3751

Number 1: DOS(E_F) 0.925 states/eV/atom. Number 2: DOS(E_F) 0.642 states/eV/atom. Number 3: DOS(E_F) 0.442 states/eV/atom.